NbInNiPt: relaxed, PBE.

abc: 6.380 6.380 6.380
angles: 90.00 90.00 90.00
Space group F-43m (No. 216)
Inequivalent atoms, fractional coordinates:
Nb 0.000 0.000 0.000
In 0.250 0.250 0.250
Ni 0.000 0.000 0.500
Pt 0.250 0.250 0.750

Results
The volume comes out at 16.23 Å³ per atom. The value obtained for the raw total energy is -6.264 eV per atom.

***

LiDyTh: relaxed, PBE.

abc: 7.048 7.048 7.048
angles: 90.00 90.00 90.00
Space group F-43m (No. 216)
Inequivalent atoms, fractional coordinates:
Li 0.000 0.000 0.000
Dy 0.250 0.250 0.750
Th 0.250 0.250 0.250

Results
The volume comes out at 29.18 Å³ per atom. The value obtained for the raw total energy is -4.025 eV per atom.

***

CsRbAgBi: relaxed, PBE.

abc: 7.044 6.746 7.321
angles: 90.00 106.08 90.00
Space group P2_1/m (No. 11)
Inequivalent atoms, fractional coordinates:
Cs 0.025 0.250 0.171
Rb 0.322 0.750 0.487
Ag 0.500 0.000 0.000
Bi 0.249 0.250 0.728

Results
The volume comes out at 41.79 Å³ per atom. The value obtained for the raw total energy is -2.499 eV per atom.

***

HfRe2: relaxed, PBE.

abc: 5.2837 5.2837 12.7798
angles: 90.00 90.00 120.00
Space group R-3m (No. 166, hexagonal axes)
Inequivalent atoms, fractional coordinates:
Hf 0.0000 0.0000 0.1259
Re 0.0000 0.0000 0.5000
Re 0.0000 0.5000 0.0000

Results
The volume comes out at 17.17 Å³ per atom. The value obtained for the raw total energy is -11.953 eV per atom. The formation enthalpy at 0 K is -352.2 meV/atom.

***

Tl2Mo9S11: relaxed, PBE.

abc: 9.3642 9.3642 35.5161
angles: 90.00 90.00 120.00
Space group R-3 (No. 148, hexagonal axes)
Inequivalent atoms, fractional coordinates:
Tl 0.0000 0.0000 0.1677
Tl 0.0000 0.0000 0.2700
Mo 0.0110 0.1715 0.4692
Mo 0.0148 0.1725 0.5956
Mo 0.0148 0.1748 0.0328
S 0.0000 0.0000 0.0847
S 0.0000 0.0000 0.3527
S 0.0175 0.3812 0.6401
S 0.0178 0.3705 0.1987
S 0.0184 0.3786 0.0776

Results
The volume comes out at 20.43 Å³ per atom. The value obtained for the raw total energy is -7.356 eV per atom.

***

Y2HoSn3Pt3: relaxed, PBE.

abc: 4.025 12.999 7.517
angles: 90.00 90.00 90.00
Space group Amm2 (No. 38)
Inequivalent atoms, fractional coordinates:
Y 0.000 0.203 0.000
Ho 0.000 0.000 0.392
Sn 0.500 0.000 0.056
Sn 0.500 0.130 0.668
Pt 0.000 0.000 0.796
Pt 0.500 0.165 0.298

Results
The volume comes out at 21.85 Å³ per atom. The value obtained for the raw total energy is -6.395 eV per atom.